A plane-wave DFT calculation with PBE was carried out for a geometry-optimized RbPtS structure.

a = 6.1399 Å, b = 6.1399 Å, c = 6.1399 Å
α = 38.30°, β = 38.30°, γ = 38.30°
Last column: nearest neighbours and their distance in Å.
Fractional positions:
Rb (0.0000, 0.0000, 0.0000)  4 S 3.23-3.38, 3 Pt 3.61
Pt (0.5045, 0.5045, 0.5045)  3 S 2.35
S (0.1893, 0.1893, 0.1893)  3 Pt 2.35

---

A plane-wave DFT calculation with PBE was carried out for a geometry-optimized RbPt3S5 structure.

a = 6.1252 Å, b = 6.1252 Å, c = 6.8158 Å
α = 90.00°, β = 90.00°, γ = 120.00°
Last column: nearest neighbours and their distance in Å.
Fractional positions:
Rb (0.0000, 0.0000, 0.0000)  2 S 3.41
Pt (0.0000, 0.5000, 0.5000)  4 S 2.36
Pt (0.5000, 0.0000, 0.5000)  4 S 2.36
Pt (0.5000, 0.5000, 0.5000)  4 S 2.36
S (0.0000, 0.0000, 0.5000)  6 Pt 3.06, 2 Rb 3.41
S (0.3333, 0.6667, 0.2698)  3 Pt 2.36
S (0.3333, 0.6667, 0.7302)  3 Pt 2.36
S (0.6667, 0.3333, 0.2698)  3 Pt 2.36
S (0.6667, 0.3333, 0.7302)  3 Pt 2.36

---

A plane-wave DFT calculation with PBE was carried out for a geometry-optimized RbScPtS3 structure.

a = 8.0105 Å, b = 8.0105 Å, c = 9.7424 Å
α = 90.00°, β = 90.00°, γ = 152.75°
Last column: nearest neighbours and their distance in Å.
Fractional positions:
Rb (0.2436, 0.7564, 0.7500)  6 S 3.35-3.37
Rb (0.7564, 0.2436, 0.2500)  6 S 3.35-3.37
Sc (0.0000, 0.0000, 0.0000)  6 S 2.62-2.71
Sc (0.0000, 0.0000, 0.5000)  6 S 2.62-2.71
Pt (0.4848, 0.5152, 0.2500)  4 S 2.37
Pt (0.5152, 0.4848, 0.7500)  4 S 2.37
S (0.0769, 0.9231, 0.2500)  2 Pt 2.37
S (0.3892, 0.6108, 0.0601)  1 Pt 2.37, 2 Sc 2.62
S (0.3892, 0.6108, 0.4399)  1 Pt 2.37, 2 Sc 2.62
S (0.6108, 0.3892, 0.5601)  1 Pt 2.37, 2 Sc 2.62
S (0.6108, 0.3892, 0.9399)  1 Pt 2.37, 2 Sc 2.62
S (0.9231, 0.0769, 0.7500)  2 Pt 2.37

---

A plane-wave DFT calculation with PBE was carried out for a geometry-optimized RbSmPtS3 structure.

a = 8.0301 Å, b = 8.0301 Å, c = 10.3214 Å
α = 90.00°, β = 90.00°, γ = 151.14°
Last column: nearest neighbours and their distance in Å.
Fractional positions:
Rb (0.2484, 0.7516, 0.7500)  6 S 3.34-3.36
Rb (0.7516, 0.2484, 0.2500)  6 S 3.34-3.36
Sm (0.0000, 0.0000, 0.0000)  6 S 2.82-2.86
Sm (0.0000, 0.0000, 0.5000)  6 S 2.82-2.86
Pt (0.4912, 0.5088, 0.2500)  4 S 2.40-2.43
Pt (0.5088, 0.4912, 0.7500)  4 S 2.40-2.43
S (0.0798, 0.9202, 0.2500)  2 Pt 2.43
S (0.3847, 0.6153, 0.0817)  1 Pt 2.40
S (0.3847, 0.6153, 0.4183)  1 Pt 2.40
S (0.6153, 0.3847, 0.5817)  1 Pt 2.40
S (0.6153, 0.3847, 0.9183)  1 Pt 2.40
S (0.9202, 0.0798, 0.7500)  2 Pt 2.43

---

A plane-wave DFT calculation with PBE was carried out for a geometry-optimized RbTbPtS3 structure.

a = 8.0303 Å, b = 8.0303 Å, c = 10.1447 Å
α = 90.00°, β = 90.00°, γ = 151.54°
Last column: nearest neighbours and their distance in Å.
Fractional positions:
Rb (0.2476, 0.7524, 0.7500)  6 S 3.33-3.36
Rb (0.7524, 0.2476, 0.2500)  6 S 3.33-3.36
Tb (0.0000, 0.0000, 0.0000)  6 S 2.77-2.83
Tb (0.0000, 0.0000, 0.5000)  6 S 2.77-2.83
Pt (0.4910, 0.5090, 0.2500)  4 S 2.40-2.41
Pt (0.5090, 0.4910, 0.7500)  4 S 2.40-2.41
S (0.0803, 0.9197, 0.2500)  2 Pt 2.41
S (0.3861, 0.6139, 0.0769)  1 Pt 2.40
S (0.3861, 0.6139, 0.4231)  1 Pt 2.40
S (0.6139, 0.3861, 0.5769)  1 Pt 2.40
S (0.6139, 0.3861, 0.9231)  1 Pt 2.40
S (0.9197, 0.0803, 0.7500)  2 Pt 2.41

---

A plane-wave DFT calculation with PBE was carried out for a geometry-optimized Rb2SbPt structure.

a = 6.0816 Å, b = 6.0816 Å, c = 5.0171 Å
α = 90.12°, β = 90.12°, γ = 59.93°
Last column: nearest neighbours and their distance in Å.
Fractional positions:
Rb (0.1667, 0.1667, 0.1902)  3 Pt 3.63-3.64, 3 Sb 3.84, 3 Rb 3.99-4.00
Rb (0.8333, 0.8333, 0.8098)  3 Pt 3.63-3.64, 3 Sb 3.84, 3 Rb 3.99-4.00
Sb (0.5000, 0.5000, 0.5000)  2 Pt 2.51
Pt (0.5000, 0.5000, 0.0000)  2 Sb 2.51

---

A plane-wave DFT calculation with PBE was carried out for a geometry-optimized RbScPtSe3 structure.

a = 8.0635 Å, b = 8.0635 Å, c = 9.9976 Å
α = 90.00°, β = 90.00°, γ = 151.93°
Last column: nearest neighbours and their distance in Å.
Fractional positions:
Rb (0.2432, 0.7568, 0.7500)  8 Se 3.39-3.72
Rb (0.7568, 0.2432, 0.2500)  8 Se 3.39-3.72
Sc (0.0000, 0.0000, 0.0000)  6 Se 2.75-2.78
Sc (0.0000, 0.0000, 0.5000)  6 Se 2.75-2.78
Pt (0.4787, 0.5213, 0.2500)  4 Se 2.49-2.50
Pt (0.5213, 0.4787, 0.7500)  4 Se 2.49-2.50
Se (0.0783, 0.9217, 0.2500)  2 Pt 2.50, 2 Sc 2.78
Se (0.3814, 0.6186, 0.0525)  1 Pt 2.49, 2 Sc 2.75
Se (0.3814, 0.6186, 0.4475)  1 Pt 2.49, 2 Sc 2.75
Se (0.6186, 0.3814, 0.5525)  1 Pt 2.49, 2 Sc 2.75
Se (0.6186, 0.3814, 0.9475)  1 Pt 2.49, 2 Sc 2.75
Se (0.9217, 0.0783, 0.7500)  2 Pt 2.50, 2 Sc 2.78

---

A plane-wave DFT calculation with PBE was carried out for a geometry-optimized RbScPtSe3 structure.

a = 8.7344 Å, b = 3.9186 Å, c = 10.2565 Å
α = 90.00°, β = 112.22°, γ = 90.00°
Last column: nearest neighbours and their distance in Å.
Fractional positions:
Rb (0.2294, 0.2500, 0.2665)  6 Se 3.32-3.58
Rb (0.7706, 0.7500, 0.7335)  6 Se 3.32-3.58
Sc (0.3384, 0.7500, 0.8527)  6 Se 2.66-2.73
Sc (0.6616, 0.2500, 0.1473)  6 Se 2.66-2.73
Pt (0.0995, 0.2500, 0.5770)  3 Se 2.47-2.55, 2 Pt 2.70
Pt (0.9005, 0.7500, 0.4230)  3 Se 2.47-2.55, 2 Pt 2.70
Se (0.1162, 0.2500, 0.8309)  1 Pt 2.55, 2 Sc 2.71
Se (0.2689, 0.7500, 0.5694)  2 Pt 2.47, 1 Sc 2.73
Se (0.4402, 0.7500, 0.1326)  3 Sc 2.66-2.72
Se (0.5598, 0.2500, 0.8674)  3 Sc 2.66-2.72
Se (0.7311, 0.2500, 0.4306)  2 Pt 2.47, 1 Sc 2.73
Se (0.8838, 0.7500, 0.1691)  1 Pt 2.55, 2 Sc 2.71

---

A plane-wave DFT calculation with PBE was carried out for a geometry-optimized RbScTe3Pt structure.

a = 9.2359 Å, b = 9.2359 Å, c = 10.2405 Å
α = 90.00°, β = 90.00°, γ = 153.91°
Last column: nearest neighbours and their distance in Å.
Fractional positions:
Rb (0.2452, 0.7548, 0.7500)  6 Te 3.70-3.71
Rb (0.7548, 0.2452, 0.2500)  6 Te 3.70-3.71
Sc (0.0000, 0.0000, 0.0000)  6 Te 2.97-2.98, 4 Pt 3.31
Sc (0.0000, 0.0000, 0.5000)  6 Te 2.97-2.98, 4 Pt 3.31
Te (0.0845, 0.9155, 0.2500)  2 Pt 2.68, 2 Sc 2.98
Te (0.3886, 0.6114, 0.0665)  1 Pt 2.63
Te (0.3886, 0.6114, 0.4335)  1 Pt 2.63
Te (0.6114, 0.3886, 0.5665)  1 Pt 2.63
Te (0.6114, 0.3886, 0.9335)  1 Pt 2.63
Te (0.9155, 0.0845, 0.7500)  2 Pt 2.68, 2 Sc 2.98
Pt (0.4911, 0.5089, 0.2500)  4 Te 2.63-2.68
Pt (0.5089, 0.4911, 0.7500)  4 Te 2.63-2.68

---

A plane-wave DFT calculation with PBE was carried out for a geometry-optimized Rb2PtSe3 structure.

a = 7.7823 Å, b = 7.7823 Å, c = 6.8232 Å
α = 90.00°, β = 90.00°, γ = 71.50°
Last column: nearest neighbours and their distance in Å.
Fractional positions:
Rb (0.0093, 0.6886, 0.7500)  7 Se 3.49-3.91, 1 Rb 3.82
Rb (0.3114, 0.9907, 0.7500)  7 Se 3.49-3.91, 1 Rb 3.82
Rb (0.6886, 0.0093, 0.2500)  7 Se 3.49-3.91, 1 Rb 3.82
Rb (0.9907, 0.3114, 0.2500)  7 Se 3.49-3.91, 1 Rb 3.82
Pt (0.4409, 0.5591, 0.2500)  5 Se 2.46-2.54
Pt (0.5591, 0.4409, 0.7500)  5 Se 2.46-2.54
Se (0.1614, 0.8386, 0.2500)  1 Pt 2.54
Se (0.3660, 0.3660, 0.0000)  2 Pt 2.46
Se (0.3660, 0.3660, 0.5000)  2 Pt 2.46
Se (0.6340, 0.6340, 0.0000)  2 Pt 2.46
Se (0.6340, 0.6340, 0.5000)  2 Pt 2.46
Se (0.8386, 0.1614, 0.7500)  1 Pt 2.54

---

A plane-wave DFT calculation with PBE was carried out for a geometry-optimized RbPt3Se5 structure.

a = 6.2785 Å, b = 6.2785 Å, c = 6.9797 Å
α = 90.00°, β = 90.00°, γ = 120.00°
Last column: nearest neighbours and their distance in Å.
Fractional positions:
Rb (0.0000, 0.0000, 0.0000)  2 Se 3.49
Pt (0.0000, 0.5000, 0.5000)  4 Se 2.48
Pt (0.5000, 0.0000, 0.5000)  4 Se 2.48
Pt (0.5000, 0.5000, 0.5000)  4 Se 2.48
Se (0.0000, 0.0000, 0.5000)  6 Pt 3.14, 2 Rb 3.49
Se (0.3333, 0.6667, 0.2565)  3 Pt 2.48
Se (0.3333, 0.6667, 0.7435)  3 Pt 2.48
Se (0.6667, 0.3333, 0.2565)  3 Pt 2.48
Se (0.6667, 0.3333, 0.7435)  3 Pt 2.48

---

A plane-wave DFT calculation with PBE was carried out for a geometry-optimized Rb2PtSe3 structure.

a = 6.9733 Å, b = 7.2059 Å, c = 9.5994 Å
α = 110.99°, β = 91.93°, γ = 115.95°
Last column: nearest neighbours and their distance in Å.
Fractional positions:
Rb (0.1046, 0.1969, 0.3856)  7 Se 3.42-3.75
Rb (0.3270, 0.6216, 0.1764)  7 Se 3.51-3.91, 2 Pt 3.77-3.86
Rb (0.6730, 0.3784, 0.8236)  7 Se 3.51-3.91, 2 Pt 3.77-3.86
Rb (0.8954, 0.8031, 0.6144)  7 Se 3.42-3.75
Pt (0.4025, 0.8111, 0.8447)  4 Se 2.42-2.45
Pt (0.5975, 0.1889, 0.1553)  4 Se 2.42-2.45
Se (0.1842, 0.4088, 0.7754)  1 Pt 2.42
Se (0.2334, 0.0238, 0.9988)  2 Pt 2.44-2.45
Se (0.3877, 0.7923, 0.5866)  1 Pt 2.43
Se (0.6123, 0.2077, 0.4134)  1 Pt 2.43
Se (0.7666, 0.9762, 0.0012)  2 Pt 2.44-2.45
Se (0.8158, 0.5912, 0.2246)  1 Pt 2.42

---

Number 1: final energy -4.218 eV per atom. Number 2: final energy -4.731 eV per atom. Number 3: final energy -5.388 eV per atom. Number 4: final energy -5.181 eV per atom. Number 5: final energy -5.182 eV per atom. Number 6: final energy -3.399 eV per atom. Number 7: final energy -5.005 eV per atom. Number 8: final energy -5.025 eV per atom. Number 9: final energy -4.657 eV per atom. Number 10: final energy -3.713 eV per atom. Number 11: final energy -4.391 eV per atom. Number 12: final energy -3.656 eV per atom.